Entry 1:
The following is a PBE calculation of an optimized crystal structure of SrLi4Au8, from Alexandria via LeMat-Bulk.

Geometry as extended XYZ:
```
13
Lattice="-4.683 4.683 2.662 4.683 -4.683 2.662 4.683 4.683 -2.662" Properties=species:S:1:pos:R:3 pbc="T T T"
Sr 0.000 0.000 0.000
Li 2.342 2.342 -1.331
Li 2.342 -2.342 1.331
Li -2.342 2.342 1.331
Li 2.342 2.342 1.331
Au 3.218 0.000 0.000
Au 6.149 0.000 0.000
Au 4.683 2.591 0.000
Au 0.000 3.218 0.000
Au 2.591 4.683 0.000
Au 2.092 0.000 2.662
Au 0.000 6.149 0.000
Au 0.000 2.092 2.662
```

- total moment (μB/f.u.) = 0.00
- D(E_F) (states/eV/f.u.) = 3.756
- DFT formation energy (eV/atom) = -0.48
- space group = I4/mmm

---

Entry 2:
The following is a PBE calculation of an optimized crystal structure of SrLiAu2, from Alexandria via LeMat-Bulk.

Geometry as extended XYZ:
```
4
Lattice="3.807 0.000 0.000 0.000 3.872 0.000 0.000 0.000 6.459" Properties=species:S:1:pos:R:3 pbc="T T T"
Sr 0.000 0.000 0.000
Li 1.903 1.936 4.047
Au 0.000 0.000 3.289
Au 1.903 1.936 1.509
```

- offset from the most stable computed form (eV/atom) = 0.231
- total moment (μB/f.u.) = 0.00
- D(E_F) (states/eV/f.u.) = 1.862
- DFT formation energy (eV/atom) = -0.44
- space group = Pmm2

---

Entry 3:
The following is a PBE calculation of an optimized crystal structure of Sr2LiAu, from Alexandria via LeMat-Bulk.

Geometry as extended XYZ:
```
4
Lattice="3.943 0.000 0.000 0.000 3.943 0.000 0.000 0.000 8.327" Properties=species:S:1:pos:R:3 pbc="T T T"
Sr 0.000 0.000 1.825
Sr 0.000 0.000 6.502
Li 1.971 1.971 4.164
Au 1.971 1.971 0.000
```

- offset from the most stable computed form (eV/atom) = 0.058
- total moment (μB/f.u.) = 0.00
- D(E_F) (states/eV/f.u.) = 3.122
- DFT formation energy (eV/atom) = -0.37
- space group = P4/mmm

---

Entry 4:
The following is a PBE calculation of an optimized crystal structure of SrLiAu2, from Alexandria via LeMat-Bulk.

Geometry as extended XYZ:
```
4
Lattice="3.989 0.000 0.000 0.000 3.519 3.691 0.000 -3.519 3.691" Properties=species:S:1:pos:R:3 pbc="T T T"
Sr 0.000 0.000 0.000
Li 1.995 0.000 4.282
Au 1.995 -1.452 2.126
Au 1.995 1.452 2.126
```

- offset from the most stable computed form (eV/atom) = 0.117
- total moment (μB/f.u.) = 0.00
- D(E_F) (states/eV/f.u.) = 1.410
- DFT formation energy (eV/atom) = -0.55
- space group = Amm2